(1)
The following is a DFT calculation (PBE) of a geometry-optimized SiRuRh2 structure.

Its calculated density is 9.28 g cm⁻³. The density of states at the Fermi level comes out at 10.26 states/eV per cell. Its symmetry is I-42d, No. 122. The formation energy without anion corrections is 0.191 eV per atom.

a = 3.706 Å, b = 3.706 Å, c = 9.114 Å
α = 78.27°, β = 78.27°, γ = 90.00°
Fractional positions:
1 Ru 0.000 0.000 0.000
2 Ru 0.750 0.250 0.500
3 Si 0.500 0.500 0.000
4 Si 0.250 0.750 0.500
5 Rh 0.618 0.125 0.250
6 Rh 0.132 0.625 0.250
7 Rh 0.375 0.382 0.750
8 Rh 0.875 0.868 0.750


(2)
The following is a DFT calculation (PBE) of a geometry-optimized Si2RuRh structure.

Its calculated density is 8.02 g cm⁻³. The density of states at the Fermi level comes out at 3.38 states/eV per cell. Its symmetry is R-3m, No. 166. The formation energy without anion corrections is -0.498 eV per atom.

a = 7.694 Å, b = 7.694 Å, c = 7.694 Å
α = 21.55°, β = 21.55°, γ = 21.55°
Fractional positions:
1 Rh 0.250 0.250 0.250
2 Ru 0.750 0.750 0.750
3 Si 0.001 0.001 0.001
4 Si 0.499 0.499 0.499


(3)
The following is a DFT calculation (PBE) of a geometry-optimized SiRuRh2 structure.

Its calculated density is 10.15 g cm⁻³. The density of states at the Fermi level comes out at 4.30 states/eV per cell. Its symmetry is Pmm2, No. 25. The formation energy without anion corrections is -0.186 eV per atom.

a = 2.770 Å, b = 3.613 Å, c = 5.476 Å
α = 90.00°, β = 90.00°, γ = 90.00°
Fractional positions:
1 Rh 0.000 0.000 0.978
2 Rh 0.500 0.500 0.263
3 Ru 0.000 0.000 0.497
4 Si 0.500 0.500 0.762


(4)
The following is a DFT calculation (PBE) of a geometry-optimized Si2RuRh structure.

Its calculated density is 8.33 g cm⁻³. The density of states at the Fermi level comes out at 1.81 states/eV per cell. Its symmetry is P4/mmm, No. 123. The formation energy without anion corrections is -0.570 eV per atom.

a = 2.897 Å, b = 2.897 Å, c = 6.182 Å
α = 90.00°, β = 90.00°, γ = 89.98°
Fractional positions:
1 Rh 0.500 0.500 0.250
2 Ru 0.500 0.500 0.750
3 Si 0.000 0.000 0.994
4 Si 0.000 0.000 0.506


(5)
The following is a DFT calculation (PBE) of a geometry-optimized SiRuRh2 structure.

Its calculated density is 10.07 g cm⁻³. The density of states at the Fermi level comes out at 5.50 states/eV per cell. Its symmetry is F-43m, No. 216. The formation energy without anion corrections is -0.136 eV per atom.

a = 4.275 Å, b = 4.275 Å, c = 4.275 Å
α = 60.00°, β = 60.00°, γ = 60.00°
Fractional positions:
1 Rh 0.000 0.000 0.000
2 Rh 0.750 0.750 0.750
3 Ru 0.500 0.500 0.500
4 Si 0.250 0.250 0.250


(6)
The following is a DFT calculation (PBE) of a geometry-optimized Si2RuRh structure.

Its calculated density is 7.69 g cm⁻³. The density of states at the Fermi level comes out at 2.85 states/eV per cell. Its symmetry is R3m, No. 160. The formation energy without anion corrections is -0.208 eV per atom.

a = 7.934 Å, b = 7.934 Å, c = 7.934 Å
α = 21.00°, β = 21.00°, γ = 21.00°
Fractional positions:
1 Rh 0.508 0.508 0.508
2 Ru 0.742 0.742 0.742
3 Si 0.002 0.002 0.002
4 Si 0.248 0.248 0.248


(7)
The following is a DFT calculation (PBE) of a geometry-optimized Si2RuRh structure.

Its calculated density is 5.74 g cm⁻³. The density of states at the Fermi level comes out at 6.07 states/eV per cell. Its symmetry is I-42d, No. 122. The formation energy without anion corrections is 0.017 eV per atom.

a = 5.343 Å, b = 5.343 Å, c = 6.487 Å
α = 65.68°, β = 65.68°, γ = 90.00°
Fractional positions:
1 Ru 0.500 0.500 0.000
2 Ru 0.250 0.750 0.500
3 Si 0.624 0.125 0.250
4 Si 0.126 0.625 0.250
5 Si 0.375 0.376 0.750
6 Si 0.875 0.874 0.750
7 Rh 0.000 0.000 0.000
8 Rh 0.750 0.250 0.500


(8)
The following is a DFT calculation (PBE) of a geometry-optimized Si2RuRh structure.

Its calculated density is 8.31 g cm⁻³. The density of states at the Fermi level comes out at 2.63 states/eV per cell. Its symmetry is Cmmm, No. 65. The formation energy without anion corrections is -0.561 eV per atom.

a = 4.221 Å, b = 4.221 Å, c = 2.922 Å
α = 90.02°, β = 90.02°, γ = 93.10°
Fractional positions:
1 Rh 0.500 0.000 0.500
2 Ru 0.000 0.500 0.500
3 Si 0.000 0.000 0.000
4 Si 0.500 0.500 0.000


(9)
The following is a DFT calculation (PBE) of a geometry-optimized SiRuRh2 structure.

Its calculated density is 9.87 g cm⁻³. The density of states at the Fermi level comes out at 4.17 states/eV per cell. Its symmetry is Cmm2, No. 35. The formation energy without anion corrections is -0.021 eV per atom.

a = 2.752 Å, b = 2.752 Å, c = 8.464 Å
α = 90.00°, β = 90.00°, γ = 118.46°
Fractional positions:
1 Rh 0.000 0.000 0.972
2 Rh 0.500 0.500 0.254
3 Ru 0.000 0.000 0.525
4 Si 0.500 0.500 0.749


(10)
The following is a DFT calculation (PBE) of a geometry-optimized SiRuRh2 structure.

Its calculated density is 10.23 g cm⁻³. The density of states at the Fermi level comes out at 2.03 states/eV per cell. Its symmetry is I4/mmm, No. 139. The formation energy without anion corrections is -0.310 eV per atom.

a = 4.627 Å, b = 4.627 Å, c = 4.627 Å
α = 131.53°, β = 131.53°, γ = 70.97°
Fractional positions:
1 Rh 0.000 0.000 0.000
2 Rh 0.500 0.500 0.000
3 Ru 0.250 0.750 0.500
4 Si 0.750 0.250 0.500


(11)
The following is a DFT calculation (PBE) of a geometry-optimized SiRu4Rh structure.

Its calculated density is 9.86 g cm⁻³. The density of states at the Fermi level comes out at 10.60 states/eV per cell. Its symmetry is F-43m, No. 216. The formation energy without anion corrections is 0.641 eV per atom.

a = 5.034 Å, b = 5.034 Å, c = 5.034 Å
α = 60.00°, β = 60.00°, γ = 60.00°
Fractional positions:
1 Si 0.750 0.750 0.750
2 Ru 0.877 0.374 0.374
3 Ru 0.374 0.374 0.877
4 Ru 0.374 0.877 0.374
5 Ru 0.374 0.374 0.374
6 Rh 0.000 0.000 0.000


(12)
The following is a DFT calculation (PBE) of a geometry-optimized SiRuRh2 structure.

Its calculated density is 10.21 g cm⁻³. The density of states at the Fermi level comes out at 2.84 states/eV per cell. Its symmetry is I-4m2, No. 119. The formation energy without anion corrections is -0.284 eV per atom.

a = 4.554 Å, b = 4.554 Å, c = 4.554 Å
α = 129.75°, β = 129.75°, γ = 73.81°
Fractional positions:
1 Rh 0.000 0.000 0.000
2 Rh 0.250 0.750 0.500
3 Ru 0.500 0.500 0.000
4 Si 0.750 0.250 0.500


(13)
The following is a DFT calculation (PBE) of a geometry-optimized SiRuRh2 structure.

Its calculated density is 10.14 g cm⁻³. The density of states at the Fermi level comes out at 5.69 states/eV per cell. Its symmetry is Cm, No. 8. The formation energy without anion corrections is -0.334 eV per atom.

a = 5.126 Å, b = 5.126 Å, c = 4.327 Å
α = 65.85°, β = 65.85°, γ = 32.23°
Fractional positions:
1 Rh 0.964 0.964 0.037
2 Rh 0.753 0.753 0.747
3 Ru 0.534 0.534 0.469
4 Si 0.249 0.249 0.248


(14)
The following is a DFT calculation (PBE) of a geometry-optimized SiRuRh structure.

Its calculated density is 9.25 g cm⁻³. The density of states at the Fermi level comes out at 4.86 states/eV per cell. Its symmetry is I4/mmm, No. 139. For the energy relative to the lowest polymorph listed for this composition, the calculation gives 28.4 meV/atom. The formation energy without anion corrections is -0.424 eV per atom.

a = 2.861 Å, b = 2.861 Å, c = 10.381 Å
α = 97.92°, β = 97.92°, γ = 90.00°
Fractional positions:
1 Ru 0.295 0.295 0.590
2 Ru 0.705 0.705 0.410
3 Si 0.129 0.129 0.258
4 Si 0.871 0.871 0.742
5 Rh 0.563 0.563 0.126
6 Rh 0.437 0.437 0.874


(15)
The following is a DFT calculation (PBE) of a geometry-optimized SiRuRh2 structure.

Its calculated density is 10.18 g cm⁻³. The density of states at the Fermi level comes out at 4.53 states/eV per cell. Its symmetry is P4/mmm, No. 123. The formation energy without anion corrections is -0.195 eV per atom.

a = 3.853 Å, b = 3.766 Å, c = 3.766 Å
α = 90.00°, β = 90.00°, γ = 90.00°
Fractional positions:
1 Rh 0.000 0.000 0.000
2 Rh 0.000 0.500 0.500
3 Ru 0.500 0.500 0.000
4 Si 0.500 0.000 0.500